(1)
16
Lattice="-1.965 -6.231 -4.718 4.737 -4.819 4.391 -6.981 3.992 4.518" Properties=species:S:1:pos:R:3 comment="La5InOs2 (PBE-GGA, optimized geometry)" formation_energy_mev_per_atom=-275 pbc="T T T"
La -2.892 -3.781 3.948
La 1.230 -8.557 1.655
La 0.000 0.000 0.000
La 1.386 -5.525 -0.164
La -5.438 1.499 2.535
La -5.601 -2.450 0.936
La -2.730 0.168 5.547
La 1.392 -4.607 3.254
La -1.479 -7.225 -1.357
La -1.316 -3.276 0.243
In -1.411 -6.291 2.013
In -2.797 -0.766 2.177
Os 1.448 -2.603 0.944
Os -0.602 -4.633 -2.404
Os 3.374 -6.416 2.077
Os 1.324 -8.446 -1.272



(2)
7
Lattice="4.749 0.000 1.438 2.199 5.865 1.297 0.229 -0.309 7.805" Properties=species:S:1:pos:R:3 comment="La4In2Os (PBE-GGA, optimized geometry)" formation_energy_mev_per_atom=-346 pbc="T T T"
In 3.196 3.580 6.567
In 3.981 1.976 3.972
Os 0.000 0.000 0.000
La 0.948 1.035 5.429
La 6.229 4.521 5.111
La 2.222 1.642 1.221
La 4.955 3.914 9.319



(3)
4
Lattice="-2.979 -2.362 -4.792 0.297 -5.899 -1.588 -1.420 4.386 4.020" Properties=species:S:1:pos:R:3 comment="LaInOs2 (PBE-GGA, optimized geometry)" formation_energy_mev_per_atom=317 pbc="T T T"
In -1.426 -4.394 -3.393
La -1.217 -2.777 -0.344
Os -2.576 -7.936 -6.128
Os -2.905 -1.161 -2.064



(4)
4
Lattice="10.246 -0.039 -0.023 9.821 2.921 -0.023 9.821 1.410 2.558" Properties=species:S:1:pos:R:3 comment="LaInOs2 (PBE-GGA, optimized geometry)" formation_energy_mev_per_atom=551 pbc="T T T"
In 15.293 2.196 1.285
La 22.252 3.196 1.870
Os 29.519 4.239 2.481
Os 7.656 1.099 0.643



(5)
5
Lattice="5.740 0.000 0.000 0.000 5.740 0.000 2.870 2.870 3.991" Properties=species:S:1:pos:R:3 comment="La2InOs2 (PBE-GGA, optimized geometry)" formation_energy_mev_per_atom=244 pbc="T T T"
In 0.000 0.000 0.000
Os 2.870 2.870 1.252
Os 5.740 5.740 2.740
La 5.740 2.870 1.996
La 2.870 5.740 1.996



(6)
4
Lattice="4.850 0.000 0.000 2.425 4.200 0.000 2.425 1.400 3.960" Properties=species:S:1:pos:R:3 comment="LaInOs2 (PBE-GGA, optimized geometry)" formation_energy_mev_per_atom=691 pbc="T T T"
In 4.850 2.800 1.980
La 2.425 1.400 0.990
Os 0.000 0.000 0.000
Os 7.275 4.200 2.970



(7)
4
Lattice="-3.026 3.562 -0.648 -0.963 0.020 4.619 2.614 2.318 0.535" Properties=species:S:1:pos:R:3 comment="LaInOs2 (PBE-GGA, optimized geometry)" formation_energy_mev_per_atom=461 pbc="T T T"
In -0.206 2.940 -0.056
La 0.825 1.169 2.577
Os 0.000 0.000 0.000
Os -1.995 1.791 1.986



(8)
4
Lattice="9.677 0.104 0.061 9.164 3.111 0.061 9.164 1.563 2.690" Properties=species:S:1:pos:R:3 comment="LaInOs2 (PBE-GGA, optimized geometry)" formation_energy_mev_per_atom=769 pbc="T T T"
In 7.002 1.194 0.703
La 21.005 3.583 2.109
Os 27.819 4.746 2.793
Os 14.190 2.421 1.425



(9)
9
Lattice="-0.154 -3.985 -0.357 7.986 -0.686 4.197 -7.656 -0.133 4.794" Properties=species:S:1:pos:R:3 comment="La6In2Os (PBE-GGA, optimized geometry)" formation_energy_mev_per_atom=-300 pbc="T T T"
La 4.764 -2.408 2.365
La 0.048 -2.314 3.353
La 3.258 -2.758 6.926
La 1.885 -0.162 0.990
La 0.245 -0.626 6.882
La 6.186 -0.716 5.314
In -2.444 -0.316 4.589
In 2.766 -0.501 4.397
Os -0.052 -1.995 -0.165



(10)
4
Lattice="-2.713 1.786 1.234 -1.399 0.072 -3.179 -3.194 -5.732 1.275" Properties=species:S:1:pos:R:3 comment="LaInOs2 (PBE-GGA, optimized geometry)" formation_energy_mev_per_atom=509 pbc="T T T"
In -2.854 -0.504 -0.654
La -4.451 -3.370 -0.016
Os -1.473 -2.644 0.588
Os -0.124 -0.222 0.049



(11)
5
Lattice="5.825 0.000 0.000 0.000 5.825 0.000 0.000 0.000 5.825" Properties=species:S:1:pos:R:3 comment="LaIn3Os (PBE-GGA, optimized geometry)" formation_energy_mev_per_atom=2141 relative_energy_mev_per_atom=2146.3 pbc="T T T"
In 0.000 2.912 0.000
In 0.000 0.000 2.912
In 2.912 0.000 0.000
Os 2.912 2.912 2.912
La 0.000 0.000 0.000



(12)
8
Lattice="6.639 0.386 0.000 1.915 8.303 0.000 0.958 4.152 5.123" Properties=species:S:1:pos:R:3 comment="La6InOs (PBE-GGA, optimized geometry)" formation_energy_mev_per_atom=-116 pbc="T T T"
La 7.011 7.743 3.140
La 6.054 3.592 1.983
La 3.457 9.249 3.140
La 2.500 5.098 1.983
La 5.443 6.856 0.000
La 3.111 1.833 0.000
In 0.000 0.000 0.000
Os 4.277 4.345 0.000



(13)
3
Lattice="4.790 0.000 0.000 2.395 4.148 0.000 2.395 1.383 3.911" Properties=species:S:1:pos:R:3 comment="LaInOs (PBE-GGA, optimized geometry)" formation_energy_mev_per_atom=59 pbc="T T T"
In 0.000 0.000 0.000
La 4.790 2.766 1.956
Os 7.185 4.148 2.933



(14)
5
Lattice="-4.058 1.655 -2.700 -1.060 -4.845 -1.377 -2.984 -0.530 4.161" Properties=species:S:1:pos:R:3 comment="LaIn3Os (PBE-GGA, optimized geometry)" formation_energy_mev_per_atom=-5 relative_energy_mev_per_atom=0.0 pbc="T T T"
In -0.530 -2.423 -0.689
In -1.492 -0.265 2.080
In -2.029 0.827 -1.350
Os 0.000 0.000 0.000
La -4.051 -1.860 0.042



(15)
4
Lattice="2.983 0.000 0.000 0.000 2.983 0.000 0.000 0.000 8.883" Properties=species:S:1:pos:R:3 comment="LaInOs2 (PBE-GGA, optimized geometry)" formation_energy_mev_per_atom=120 pbc="T T T"
In 0.000 0.000 4.043
La 1.491 1.491 6.890
Os 0.000 0.000 0.420
Os 1.491 1.491 1.971



(16)
3
Lattice="6.472 -0.019 0.020 5.580 3.280 0.024 0.893 0.238 3.291" Properties=species:S:1:pos:R:3 comment="LaInOs (PBE-GGA, optimized geometry)" formation_energy_mev_per_atom=32 pbc="T T T"
In 1.276 0.342 3.179
La 4.345 1.173 2.286
Os 8.217 2.222 1.160



(17)
4
Lattice="-0.760 -0.354 -2.925 -3.817 -1.379 1.159 -2.225 6.030 -0.151" Properties=species:S:1:pos:R:3 comment="LaInOs2 (PBE-GGA, optimized geometry)" formation_energy_mev_per_atom=458 pbc="T T T"
In -2.845 0.641 -0.921
La -3.957 3.656 -0.996
Os -0.130 0.352 -0.009
Os -0.983 2.663 -0.067



(18)
8
Lattice="-1.489 3.533 2.610 -3.509 0.700 -2.950 -7.845 -3.798 4.784" Properties=species:S:1:pos:R:3 comment="LaInOs2 (PBE-GGA, optimized geometry)" formation_energy_mev_per_atom=525 pbc="T T T"
In -2.499 2.116 -0.170
In -6.927 -0.491 0.832
Os -3.098 0.793 2.050
Os -4.574 0.482 0.087
Os -8.307 -1.152 2.999
Os -9.708 0.746 3.752
La 0.000 0.000 0.000
La -5.917 0.925 3.612



(19)
4
Lattice="-2.740 4.011 2.763 3.358 -2.965 3.341 2.141 1.939 0.812" Properties=species:S:1:pos:R:3 comment="LaInOs2 (PBE-GGA, optimized geometry)" formation_energy_mev_per_atom=567 pbc="T T T"
In -0.299 2.975 1.788
La 2.750 -0.513 2.076
Os 0.000 0.000 0.000
Os 0.309 0.523 3.052



(20)
7
Lattice="-1.819 -3.911 2.683 -2.029 -1.956 -4.226 7.072 -4.265 -1.422" Properties=species:S:1:pos:R:3 comment="La5InOs (PBE-GGA, optimized geometry)" formation_energy_mev_per_atom=-211 pbc="T T T"
La 4.653 -4.396 -3.253
La 0.390 -1.825 -2.395
La 4.758 -5.373 0.202
La 0.495 -2.802 1.059
La 1.612 -5.066 -1.483
In 3.536 -2.133 -0.711
Os -1.924 -2.933 -0.771



(21)
4
Lattice="3.381 0.000 0.000 0.000 5.262 0.000 0.000 0.000 4.496" Properties=species:S:1:pos:R:3 comment="LaInOs2 (PBE-GGA, optimized geometry)" formation_energy_mev_per_atom=634 pbc="T T T"
In 1.691 0.000 2.248
La 0.000 2.631 2.248
Os 0.000 0.000 0.000
Os 1.691 2.631 0.000



(22)
11
Lattice="-5.190 2.075 0.990 -2.500 -7.444 -2.922 2.604 0.134 7.963" Properties=species:S:1:pos:R:3 comment="La8InOs2 (PBE-GGA, optimized geometry)" formation_energy_mev_per_atom=-150 pbc="T T T"
La -5.504 -4.816 3.580
La -4.209 -2.893 6.342
La -1.458 -3.748 3.293
La -3.805 -4.492 0.324
La -1.281 -0.744 5.707
La -3.629 -1.488 2.737
La -0.878 -2.343 -0.311
La 0.418 -0.420 2.451
In -2.595 1.037 0.495
Os 1.078 -2.133 4.707
Os -0.974 -5.178 0.333



(23)
4
Lattice="-4.570 -0.771 2.994 -2.176 -5.068 -0.141 5.005 2.155 0.867" Properties=species:S:1:pos:R:3 comment="LaInOs2 (PBE-GGA, optimized geometry)" formation_energy_mev_per_atom=594 pbc="T T T"
In -3.373 -2.920 1.427
La -1.469 -0.768 2.644
Os 0.000 0.000 0.000
Os -0.272 -2.916 1.076



(24)
6
Lattice="4.458 0.000 0.000 0.000 5.379 -0.158 -2.229 -1.352 6.403" Properties=species:S:1:pos:R:3 comment="LaInOs (PBE-GGA, optimized geometry)" formation_energy_mev_per_atom=-226 pbc="T T T"
Os 2.229 -0.273 3.625
Os 0.000 4.300 2.620
In 2.229 4.070 0.829
In 0.000 -0.042 5.415
La 2.229 2.612 4.695
La 0.000 1.415 1.550



(25)
3
Lattice="4.672 0.000 0.000 -2.336 4.046 0.000 0.000 0.000 3.917" Properties=species:S:1:pos:R:3 comment="LaInOs (PBE-GGA, optimized geometry)" formation_energy_mev_per_atom=89 pbc="T T T"
In 0.000 0.000 3.264
La 0.000 2.697 1.305
Os 2.336 1.349 3.264



(26)
4
Lattice="-1.315 3.246 2.951 -2.595 0.272 -1.455 -3.093 -4.112 3.146" Properties=species:S:1:pos:R:3 comment="LaInOs2 (PBE-GGA, optimized geometry)" formation_energy_mev_per_atom=548 pbc="T T T"
In -2.079 0.663 1.898
La -4.924 -1.257 2.743
Os -0.244 -0.234 0.148
Os -2.600 -1.686 0.697



(27)
16
Lattice="4.887 0.000 0.000 0.000 8.293 0.000 0.000 0.000 12.660" Properties=species:S:1:pos:R:3 comment="La5In2Os (PBE-GGA, optimized geometry)" formation_energy_mev_per_atom=-351 pbc="T T T"
La 0.000 0.000 6.330
La 0.000 4.147 0.000
La 0.000 7.157 2.518
La 0.000 1.137 10.142
La 0.000 5.284 8.847
La 0.000 3.010 3.812
La 2.444 5.667 5.475
La 2.444 2.626 7.185
La 2.444 6.773 11.805
La 2.444 1.521 0.855
In 2.444 4.765 2.131
In 2.444 3.528 10.529
In 2.444 7.675 8.461
In 2.444 0.619 4.199
Os 0.000 4.147 6.330
Os 0.000 0.000 0.000



(28)
4
Lattice="-1.713 3.271 -0.684 -1.265 -1.157 -2.368 -7.202 -3.376 1.883" Properties=species:S:1:pos:R:3 comment="LaInOs2 (PBE-GGA, optimized geometry)" formation_energy_mev_per_atom=144 pbc="T T T"
In -3.918 -2.149 -0.467
La -7.403 -1.838 -0.566
Os -1.657 -1.304 -2.088
Os -2.699 0.605 -0.660



Number 1: magnetization 0.00 Bohr magnetons per cell. Number 2: magnetization 0.00 Bohr magnetons per cell. Number 3: magnetization 0.24 Bohr magnetons per cell. Number 4: magnetization 0.59 Bohr magnetons per cell. Number 5: magnetization 0.00 Bohr magnetons per cell. Number 6: magnetization 1.47 Bohr magnetons per cell. Number 7: magnetization 0.00 Bohr magnetons per cell. Number 8: magnetization 0.00 Bohr magnetons per cell. Number 9: magnetization 0.00 Bohr magnetons per cell. Number 10: magnetization 0.00 Bohr magnetons per cell. Number 11: magnetization 0.00 Bohr magnetons per cell. Number 12: magnetization 0.00 Bohr magnetons per cell. Number 13: magnetization 0.00 Bohr magnetons per cell. Number 14: magnetization 0.00 Bohr magnetons per cell. Number 15: magnetization 0.00 Bohr magnetons per cell. Number 16: magnetization 0.00 Bohr magnetons per cell. Number 17: magnetization 0.00 Bohr magnetons per cell. Number 18: magnetization 0.00 Bohr magnetons per cell. Number 19: magnetization 0.00 Bohr magnetons per cell. Number 20: magnetization 0.00 Bohr magnetons per cell. Number 21: magnetization 0.00 Bohr magnetons per cell. Number 22: magnetization 0.00 Bohr magnetons per cell. Number 23: magnetization 0.00 Bohr magnetons per cell. Number 24: magnetization 0.00 Bohr magnetons per cell. Number 25: magnetization 0.00 Bohr magnetons per cell. Number 26: magnetization 0.00 Bohr magnetons per cell. Number 27: magnetization 0.00 Bohr magnetons per cell. Number 28: magnetization 0.00 Bohr magnetons per cell.